Material: Dy3Er2Mg
Method: DFT, PBE
State: relaxed

Properties
The energy of formation comes out at 0.0670 eV/atom. The calculation puts the volume at 30.388 A^3/atom. As for the symmetry: No. 74. The value obtained for the size of the total moment is 0.000 μB per formula unit. As for the energy above the most stable polymorph in this dataset: 0 meV/atom.

Unit cell a=6.1441 b=6.8866 c=9.7756 alpha=110.62 beta=108.32 gamma=90.00
With the nearest neighbours (Å) after each atom.
Element x y z (fractional)
Mg 0.7971 0.7500 0.0000  6 Dy 3.02-3.23
Er 0.6912 0.9357 0.3714  7 Dy 3.43-3.63, 3 Er 3.44-3.73, 1 Mg 3.67
Er 0.3199 0.5643 0.6286  7 Dy 3.43-3.63, 3 Er 3.44-3.73, 1 Mg 3.67
Dy 0.8587 0.8586 0.7174  2 Mg 3.23, 4 Dy 3.44-3.53, 4 Er 3.44-3.57
Dy 0.3058 0.7500 0.0000  2 Mg 3.02-3.13
Dy 0.8587 0.3586 0.7174  2 Mg 3.23, 4 Dy 3.44-3.53, 4 Er 3.44-3.57
Dy 0.6942 0.2500 0.0000  2 Mg 3.02-3.13
Er 0.3088 0.0643 0.6286  7 Dy 3.43-3.63, 3 Er 3.44-3.73, 1 Mg 3.67
Dy 0.1413 0.1414 0.2826  2 Mg 3.23, 4 Dy 3.44-3.53, 4 Er 3.44-3.57
Er 0.6801 0.4357 0.3714  7 Dy 3.43-3.63, 3 Er 3.44-3.73, 1 Mg 3.67
Dy 0.1413 0.6414 0.2826  2 Mg 3.23, 4 Dy 3.44-3.53, 4 Er 3.44-3.57
Mg 0.2029 0.2500 0.0000  6 Dy 3.02-3.23

***

Material: Dy4Er2Mg
Method: DFT, PBE
State: relaxed

Properties
The energy of formation comes out at 0.1062 eV/atom. The calculation puts the volume at 30.448 A^3/atom. As for the symmetry: No. 11. The value obtained for the size of the total moment is 0.000 μB per formula unit. As for the energy above the most stable polymorph in this dataset: 0 meV/atom.

Unit cell a=5.9459 b=6.5171 c=11.3954 alpha=90.00 beta=105.13 gamma=90.00
With the nearest neighbours (Å) after each atom.
Element x y z (fractional)
Dy 0.8485 0.2500 0.5597  1 Mg 3.13, 4 Er 3.31-3.36, 4 Dy 3.43-3.49
Dy 0.9771 0.2500 0.1257  3 Mg 3.20-3.41, 3 Er 3.24-3.39, 2 Dy 3.45
Mg 0.8512 0.2500 0.8351  6 Dy 3.13-3.41, 1 Er 3.30
Er 0.7249 0.7500 0.5774  9 Dy 3.31-3.61
Dy 0.6415 0.4982 0.2869  5 Dy 3.24-3.49, 1 Mg 3.33, 3 Er 3.39-3.61
Dy 0.6415 0.0018 0.2869  5 Dy 3.24-3.49, 1 Mg 3.33, 3 Er 3.39-3.61
Dy 0.3585 0.5018 0.7131  5 Dy 3.24-3.49, 1 Mg 3.33, 3 Er 3.39-3.61
Er 0.4000 0.2500 0.9955  4 Dy 3.24-3.56, 2 Mg 3.30-3.62, 2 Er 3.46
Dy 0.1515 0.7500 0.4403  1 Mg 3.13, 4 Er 3.31-3.36, 4 Dy 3.43-3.49
Mg 0.1488 0.7500 0.1649  6 Dy 3.13-3.41, 1 Er 3.30
Dy 0.3585 0.9982 0.7131  5 Dy 3.24-3.49, 1 Mg 3.33, 3 Er 3.39-3.61
Er 0.2751 0.2500 0.4226  9 Dy 3.31-3.61
Er 0.6000 0.7500 0.0045  4 Dy 3.24-3.56, 2 Mg 3.30-3.62, 2 Er 3.46
Dy 0.0229 0.7500 0.8743  3 Mg 3.20-3.41, 3 Er 3.24-3.39, 2 Dy 3.45

***

Material: Dy3Er5Mg
Method: DFT, PBE
State: relaxed

Properties
The energy of formation comes out at 0.5212 eV/atom. The calculation puts the volume at 35.050 A^3/atom. As for the symmetry: No. 12. The value obtained for the size of the total moment is 0.000 μB per formula unit.

Unit cell a=9.3472 b=9.3472 c=11.5108 alpha=52.87 beta=52.87 gamma=74.80
With the nearest neighbours (Å) after each atom.
Element x y z (fractional)
Er 0.2592 0.7408 0.0000  3 Dy 2.94-3.29
Dy 0.3392 0.3392 0.6418  2 Dy 3.13-3.29, 2 Er 3.13-3.27, 1 Mg 3.26
Er 0.5190 0.5190 0.7548  3 Dy 3.17-3.27, 3 Er 3.23-3.37, 1 Mg 3.30
Mg 0.1408 0.1408 0.6075  4 Dy 3.14-3.46, 2 Er 3.22-3.30
Dy 0.3107 0.3107 0.1763  1 Dy 3.01, 5 Er 3.17-3.29
Mg 0.8592 0.8592 0.3925  4 Dy 3.14-3.46, 2 Er 3.22-3.30
Er 0.1896 0.1896 0.0297  3 Dy 3.08-3.27, 1 Mg 3.22, 3 Er 3.23-3.29
Er 0.4810 0.4810 0.2452  3 Dy 3.17-3.27, 3 Er 3.23-3.37, 1 Mg 3.30
Er 0.8104 0.8104 0.9703  3 Dy 3.08-3.27, 1 Mg 3.22, 3 Er 3.23-3.29
Er 0.3442 0.8508 0.2477  3 Er 3.29-3.62, 2 Dy 3.46-3.55
Er 0.6558 0.1492 0.7523  3 Er 3.29-3.62, 2 Dy 3.46-3.55
Dy 0.0000 0.0000 0.0000  4 Er 2.94-3.08, 2 Mg 3.23, 2 Dy 3.29
Er 0.8508 0.3442 0.2477  3 Er 3.29-3.62, 2 Dy 3.46-3.55
Dy 0.6608 0.6608 0.3582  2 Dy 3.13-3.29, 2 Er 3.13-3.27, 1 Mg 3.26
Er 0.7408 0.2592 0.0000  3 Dy 2.94-3.29
Er 0.1492 0.6558 0.7523  3 Er 3.29-3.62, 2 Dy 3.46-3.55
Dy 0.6893 0.6893 0.8237  1 Dy 3.01, 5 Er 3.17-3.29
Dy 0.0000 0.0000 0.5000  2 Dy 3.01, 2 Mg 3.14

***

Material: DyEr3Mg8
Method: DFT, PBE
State: relaxed

Properties
The energy of formation comes out at -0.0615 eV/atom. The calculation puts the volume at 25.628 A^3/atom. As for the symmetry: No. 156. The value obtained for the size of the total moment is 0.000 μB per formula unit.

Unit cell a=6.0444 b=6.0444 c=9.7200 alpha=90.00 beta=90.00 gamma=120.00
With the nearest neighbours (Å) after each atom.
Element x y z (fractional)
Mg 0.6749 0.8374 0.2497  6 Mg 2.95-3.10
Mg 0.3333 0.6667 0.0001  6 Mg 3.01-3.02
Dy 0.0000 0.0000 0.5643  12 Mg 3.50-3.55, 4 Er 3.62-3.71
Er 0.6667 0.3333 0.0637  12 Mg 3.49-3.54, 4 Er 3.61-3.70
Mg 0.3333 0.6667 0.5000  6 Mg 3.02
Er 0.6667 0.3333 0.4353  12 Mg 3.50-3.55, 1 Er 3.61, 3 Dy 3.71
Mg 0.9914 0.4957 0.7503  6 Mg 2.94-3.10
Mg 0.5043 0.0086 0.7503  6 Mg 2.94-3.10
Mg 0.5043 0.4957 0.7503  6 Mg 2.94-3.10
Mg 0.1626 0.8374 0.2497  6 Mg 2.95-3.10
Er 0.0000 0.0000 0.9365  12 Mg 3.49-3.54, 1 Dy 3.62, 3 Er 3.70
Mg 0.1626 0.3251 0.2497  6 Mg 2.95-3.10

***

Material: DyEr7Mg4
Method: DFT, PBE
State: relaxed

Properties
The energy of formation comes out at 0.2492 eV/atom. The calculation puts the volume at 29.660 A^3/atom. As for the symmetry: No. 12. The value obtained for the size of the total moment is 0.000 μB per formula unit.

Unit cell a=5.6402 b=9.6759 c=7.3941 alpha=79.96 beta=67.58 gamma=73.05
With the nearest neighbours (Å) after each atom.
Element x y z (fractional)
Dy 0.0000 0.0000 0.0000  2 Er 2.82
Er 0.9435 0.3818 0.7311  5 Mg 3.14-3.52, 1 Er 3.25
Er 0.6784 0.3813 0.2620  4 Mg 2.99-3.25
Er 0.7793 0.8815 0.5599  4 Mg 3.24-3.35, 2 Er 3.25-3.27
Mg 0.5626 0.2193 0.6556  1 Mg 2.90, 3 Er 2.99-3.24
Mg 0.4374 0.7807 0.3444  1 Mg 2.90, 3 Er 2.99-3.24
Mg 0.6870 0.6633 0.9626  1 Mg 2.90, 3 Er 3.14-3.20
Er 0.3216 0.6187 0.7380  4 Mg 2.99-3.25
Er 0.0565 0.6182 0.2689  5 Mg 3.14-3.52, 1 Er 3.25
Mg 0.3130 0.3367 0.0374  1 Mg 2.90, 3 Er 3.14-3.20
Er 0.5000 0.0000 0.0000  2 Dy 2.82, 4 Mg 3.00-3.15
Er 0.2207 0.1185 0.4401  4 Mg 3.24-3.35, 2 Er 3.25-3.27

***

Material: Dy2ErMg
Method: DFT, PBE
State: relaxed

Properties
The energy of formation comes out at 0.1876 eV/atom. The calculation puts the volume at 30.966 A^3/atom. As for the symmetry: No. 166. The value obtained for the size of the total moment is 0.000 μB per formula unit. As for the energy above the most stable polymorph in this dataset: 217 meV/atom.

Unit cell a=3.4269 b=3.4269 c=12.3382 alpha=82.02 beta=82.02 gamma=60.00
With the nearest neighbours (Å) after each atom.
Element x y z (fractional)
Mg 0.0000 0.0000 0.0000  2 Dy 3.27, 6 Mg 3.43
Dy 0.0895 0.0895 0.7314  1 Mg 3.27, 6 Dy 3.43, 3 Er 3.44
Dy 0.9105 0.9105 0.2686  1 Mg 3.27, 6 Dy 3.43, 3 Er 3.44
Er 0.5000 0.5000 0.5000  6 Er 3.43, 6 Dy 3.44

***

Material: Dy2Er3Mg7
Method: DFT, PBE
State: relaxed

Properties
The energy of formation comes out at 0.1309 eV/atom. The calculation puts the volume at 28.307 A^3/atom. As for the symmetry: No. 65. The value obtained for the size of the total moment is 0.420 μB per formula unit.

Unit cell a=5.1228 b=5.1266 c=13.1859 alpha=101.21 beta=90.00 gamma=90.00
With the nearest neighbours (Å) after each atom.
Element x y z (fractional)
Mg 0.0000 0.2715 0.5430  2 Mg 2.79
Mg 0.5000 0.0716 0.1431  2 Mg 3.16, 4 Er 3.16-3.37, 2 Dy 3.18
Er 0.5000 0.3440 0.6880  6 Mg 3.17-3.37
Mg 0.0000 0.0000 0.0000  8 Mg 3.16
Dy 0.0000 0.1444 0.2888  7 Mg 3.18-3.36
Mg 0.0000 0.5713 0.1426  4 Er 3.16-3.37, 2 Mg 3.16, 2 Dy 3.19
Mg 0.5000 0.9284 0.8569  2 Mg 3.16, 4 Er 3.16-3.37, 2 Dy 3.18
Er 0.5000 0.6560 0.3120  6 Mg 3.17-3.37
Mg 0.0000 0.4287 0.8574  4 Er 3.16-3.37, 2 Mg 3.16, 2 Dy 3.19
Dy 0.0000 0.8556 0.7112  7 Mg 3.18-3.36
Er 0.5000 0.5000 0.0000  8 Mg 3.16
Mg 0.0000 0.7285 0.4570  2 Mg 2.79

***

Material: Dy4Er4Mg
Method: DFT, PBE
State: relaxed

Properties
The energy of formation comes out at 0.0006 eV/atom. The calculation puts the volume at 30.456 A^3/atom. As for the symmetry: No. 2. The value obtained for the size of the total moment is 0.000 μB per formula unit. As for the energy above the most stable polymorph in this dataset: 0 meV/atom.

Unit cell a=10.6471 b=8.3065 c=6.6194 alpha=77.33 beta=105.82 gamma=89.69
With the nearest neighbours (Å) after each atom.
Element x y z (fractional)
Dy 0.4969 0.8096 0.9424  8 Er 3.41-3.53, 2 Dy 3.41-3.64, 2 Mg 3.46-3.63
Er 0.7296 0.8670 0.3851  6 Dy 3.41-3.62, 5 Er 3.47-3.50, 1 Mg 3.60
Mg 0.3795 0.4736 0.2803  7 Er 3.38-3.60, 1 Mg 3.43, 4 Dy 3.46-3.63
Er 0.8207 0.8031 0.9428  1 Mg 3.44, 7 Dy 3.45-3.60, 4 Er 3.47-3.61
Er 0.5965 0.1475 0.6078  2 Mg 3.38-3.46, 5 Dy 3.44-3.58, 5 Er 3.49-3.61
Er 0.2934 0.5231 0.7300  3 Mg 3.43-3.50, 6 Dy 3.46-3.61, 3 Er 3.48-3.56
Er 0.1793 0.1969 0.0572  1 Mg 3.44, 7 Dy 3.45-3.60, 4 Er 3.47-3.61
Dy 0.5031 0.1904 0.0576  8 Er 3.41-3.53, 2 Dy 3.41-3.64, 2 Mg 3.46-3.63
Er 0.4036 0.8525 0.3922  2 Mg 3.38-3.46, 5 Dy 3.44-3.58, 5 Er 3.49-3.61
Dy 0.0467 0.4777 0.2785  6 Dy 3.42-3.59, 5 Er 3.49-3.62, 1 Mg 3.54
Dy 0.1558 0.8021 0.9471  6 Dy 3.45-3.64, 5 Er 3.48-3.57, 1 Mg 3.52
Dy 0.9533 0.5223 0.7215  6 Dy 3.42-3.59, 5 Er 3.49-3.62, 1 Mg 3.54
Dy 0.8442 0.1979 0.0529  6 Dy 3.45-3.64, 5 Er 3.48-3.57, 1 Mg 3.52
Dy 0.0672 0.8606 0.3937  6 Dy 3.42-3.59, 6 Er 3.42-3.60
Dy 0.9328 0.1395 0.6063  6 Dy 3.42-3.59, 6 Er 3.42-3.60
Mg 0.6205 0.5264 0.7197  7 Er 3.38-3.60, 1 Mg 3.43, 4 Dy 3.46-3.63
Er 0.2704 0.1330 0.6149  6 Dy 3.41-3.62, 5 Er 3.47-3.50, 1 Mg 3.60
Er 0.7066 0.4769 0.2700  3 Mg 3.43-3.50, 6 Dy 3.46-3.61, 3 Er 3.48-3.56

***

Material: DyEr5Mg3
Method: DFT, PBE
State: relaxed

Properties
The energy of formation comes out at 0.3774 eV/atom. The calculation puts the volume at 32.909 A^3/atom. As for the symmetry: No. 12. The value obtained for the size of the total moment is 0.000 μB per formula unit.

Unit cell a=7.2567 b=7.2567 c=11.9062 alpha=78.71 beta=78.71 gamma=77.41
With the nearest neighbours (Å) after each atom.
Element x y z (fractional)
Er 0.4138 0.4138 0.6323  2 Mg 2.96-3.19, 1 Dy 3.26, 1 Er 3.26
Dy 0.8816 0.8816 0.2654  2 Mg 3.11-3.39, 2 Er 3.26-3.29
Mg 0.7372 0.7372 0.5604  2 Mg 2.84-2.88
Mg 0.4192 0.4192 0.2118  1 Mg 2.84, 3 Er 2.96-3.01
Mg 0.0000 0.0000 0.5000  2 Mg 2.88
Er 0.3586 0.9930 0.2035  2 Mg 3.24-3.61, 4 Er 3.28-3.55, 1 Dy 3.63
Er 0.6921 0.3079 0.0000  3 Mg 2.79-3.01
Dy 0.1184 0.1184 0.7346  2 Mg 3.11-3.39, 2 Er 3.26-3.29
Er 0.2759 0.2759 0.9322  1 Mg 3.02, 4 Er 3.28-3.34, 1 Dy 3.29
Mg 0.0000 0.0000 0.0000  4 Er 2.79-3.02, 2 Dy 3.11
Er 0.0070 0.6414 0.7965  2 Mg 3.24-3.61, 4 Er 3.28-3.55, 1 Dy 3.63
Er 0.5862 0.5862 0.3677  2 Mg 2.96-3.19, 1 Dy 3.26, 1 Er 3.26
Mg 0.2628 0.2628 0.4396  2 Mg 2.84-2.88
Er 0.9930 0.3586 0.2035  2 Mg 3.24-3.61, 4 Er 3.28-3.55, 1 Dy 3.63
Er 0.3079 0.6921 0.0000  3 Mg 2.79-3.01
Er 0.7241 0.7241 0.0678  1 Mg 3.02, 4 Er 3.28-3.34, 1 Dy 3.29
Mg 0.5808 0.5808 0.7882  1 Mg 2.84, 3 Er 2.96-3.01
Er 0.6414 0.0070 0.7965  2 Mg 3.24-3.61, 4 Er 3.28-3.55, 1 Dy 3.63

***

Material: DyErMg4
Method: DFT, PBE
State: relaxed

Properties
The energy of formation comes out at -0.0407 eV/atom. The calculation puts the volume at 25.745 A^3/atom. As for the symmetry: No. 12. The value obtained for the size of the total moment is 0.000 μB per formula unit. As for the energy above the most stable polymorph in this dataset: 21 meV/atom.

Unit cell a=3.4291 b=7.0730 c=8.5468 alpha=122.78 beta=78.43 gamma=75.97
With the nearest neighbours (Å) after each atom.
Element x y z (fractional)
Mg 0.6639 0.0104 0.6618  8 Mg 3.13-3.43, 2 Er 3.34, 2 Dy 3.35
Mg 0.3361 0.9896 0.3382  8 Mg 3.13-3.43, 2 Er 3.34, 2 Dy 3.35
Mg 0.1620 0.5128 0.1631  8 Mg 3.14-3.43, 2 Er 3.35, 2 Dy 3.35
Mg 0.8380 0.4872 0.8369  8 Mg 3.14-3.43, 2 Er 3.35, 2 Dy 3.35
Dy 0.0000 0.0000 0.0000  8 Mg 3.35, 2 Er 3.39, 2 Dy 3.43
Er 0.5000 0.5000 0.5000  8 Mg 3.34-3.35, 2 Dy 3.39, 2 Er 3.43

***

Material: DyEr4Mg5
Method: DFT, PBE
State: relaxed

Properties
The energy of formation comes out at -0.0692 eV/atom. The calculation puts the volume at 26.770 A^3/atom. As for the symmetry: No. 123. The value obtained for the size of the total moment is 0.000 μB per formula unit.

Unit cell a=3.7739 b=3.7739 c=18.7966 alpha=90.00 beta=90.00 gamma=90.00
With the nearest neighbours (Å) after each atom.
Element x y z (fractional)
Er 0.0000 0.0000 0.4003  8 Mg 3.26
Mg 0.5000 0.5000 0.8988  4 Er 3.26, 4 Dy 3.28
Mg 0.5000 0.5000 0.6995  8 Er 3.26
Mg 0.5000 0.5000 0.3005  8 Er 3.26
Er 0.0000 0.0000 0.5997  8 Mg 3.26
Er 0.0000 0.0000 0.2008  8 Mg 3.26
Er 0.0000 0.0000 0.7992  8 Mg 3.26
Mg 0.5000 0.5000 0.5000  8 Er 3.26
Mg 0.5000 0.5000 0.1012  4 Er 3.26, 4 Dy 3.28
Dy 0.0000 0.0000 0.0000  8 Mg 3.28

***

Material: Dy3Er6Mg
Method: DFT, PBE
State: relaxed

Properties
The energy of formation comes out at 0.0216 eV/atom. The calculation puts the volume at 30.250 A^3/atom. As for the symmetry: No. 11. The value obtained for the size of the total moment is 0.000 μB per formula unit. As for the energy above the most stable polymorph in this dataset: 0 meV/atom.

Unit cell a=4.9640 b=11.0119 c=11.0679 alpha=90.28 beta=90.00 gamma=90.00
With the nearest neighbours (Å) after each atom.
Element x y z (fractional)
Dy 0.7500 0.4487 0.5998  8 Er 3.48-3.54, 4 Dy 3.49-3.51
Er 0.7500 0.7543 0.5015  3 Mg 3.43-3.47, 5 Er 3.48-3.50, 4 Dy 3.48-3.54
Dy 0.2500 0.3479 0.7969  8 Er 3.48-3.55, 4 Dy 3.49-3.51
Dy 0.7500 0.6521 0.2031  8 Er 3.48-3.55, 4 Dy 3.49-3.51
Dy 0.7500 0.2482 0.9972  10 Er 3.47-3.52, 2 Dy 3.51
Er 0.2500 0.0485 0.8997  4 Dy 3.47-3.49, 7 Er 3.47-3.53, 1 Mg 3.49
Er 0.7500 0.1474 0.6952  3 Mg 3.43-3.45, 5 Er 3.48-3.53, 4 Dy 3.49-3.52
Er 0.7500 0.3473 0.2998  1 Mg 3.48, 6 Er 3.48-3.50, 5 Dy 3.50-3.53
Er 0.7500 0.9515 0.1003  4 Dy 3.47-3.49, 7 Er 3.47-3.53, 1 Mg 3.49
Dy 0.2500 0.5513 0.4002  8 Er 3.48-3.54, 4 Dy 3.49-3.51
Er 0.7500 0.8499 0.8027  8 Er 3.46-3.49, 2 Dy 3.50, 2 Mg 3.53
Er 0.2500 0.2457 0.4985  3 Mg 3.43-3.47, 5 Er 3.48-3.50, 4 Dy 3.48-3.54
Er 0.7500 0.5515 0.8979  5 Er 3.46-3.55, 7 Dy 3.48-3.55
Er 0.2500 0.4485 0.1021  5 Er 3.46-3.55, 7 Dy 3.48-3.55
Er 0.2500 0.6527 0.7002  1 Mg 3.48, 6 Er 3.48-3.50, 5 Dy 3.50-3.53
Mg 0.7500 0.0488 0.4006  10 Er 3.43-3.53, 2 Mg 3.49
Mg 0.2500 0.9512 0.5994  10 Er 3.43-3.53, 2 Mg 3.49
Dy 0.2500 0.7518 0.0028  10 Er 3.47-3.52, 2 Dy 3.51
Er 0.2500 0.1501 0.1973  8 Er 3.46-3.49, 2 Dy 3.50, 2 Mg 3.53
Er 0.2500 0.8526 0.3048  3 Mg 3.43-3.45, 5 Er 3.48-3.53, 4 Dy 3.49-3.52